(1)
LiY2ZnS: relaxed, PBE.

abc: 5.278 5.278 4.272
angles: 90.00 90.00 90.00
Space group P4/mmm (No. 123)
One atom of each set of equivalent atoms:
Li: 0.000 0.000 0.000 [1 per cell]
Y: 0.000 0.500 0.500 [2 per cell]
Zn: 0.500 0.500 0.000 [1 per cell]
S: 0.000 0.000 0.500 [1 per cell]

Properties
Density in g/cm3: 3.94
Energy relative to the elements, uncorrected in eV/atom: -0.716
Total magnetic moment in μB per formula unit: 0.00


(2)
LiYZr2S4: relaxed, PBE.

abc: 6.370 3.700 6.690
angles: 90.00 108.19 90.00
Space group P2/m (No. 10)
One atom of each set of equivalent atoms:
Li: 0.000 0.000 0.000 [1 per cell]
Y: 0.500 0.500 0.000 [1 per cell]
Zr: 0.000 0.500 0.500 [1 per cell]
Zr: 0.500 0.000 0.500 [1 per cell]
S: 0.237 0.000 0.747 [2 per cell]
S: 0.243 0.500 0.251 [2 per cell]

Properties
Density in g/cm3: 4.51
Energy relative to the elements, uncorrected in eV/atom: -1.623
Total magnetic moment in μB per formula unit: 0.00


(3)
LiY2ZrS4: relaxed, PBE.

abc: 6.470 3.820 6.709
angles: 90.00 109.31 90.00
Space group P2/m (No. 10)
One atom of each set of equivalent atoms:
Li: 0.000 0.000 0.000 [1 per cell]
Y: 0.500 0.000 0.500 [1 per cell]
Y: 0.500 0.500 0.000 [1 per cell]
Zr: 0.000 0.500 0.500 [1 per cell]
S: 0.234 0.000 0.751 [2 per cell]
S: 0.235 0.500 0.244 [2 per cell]

Properties
Density in g/cm3: 4.29
Energy relative to the elements, uncorrected in eV/atom: -1.772
Total magnetic moment in μB per formula unit: 0.00


(4)
Li2YZrS4: relaxed, PBE.

abc: 6.551 3.747 6.573
angles: 90.00 109.23 90.00
Space group P2/m (No. 10)
One atom of each set of equivalent atoms:
Li: 0.000 0.000 0.000 [1 per cell]
Li: 0.500 0.500 0.000 [1 per cell]
Y: 0.000 0.500 0.500 [1 per cell]
Zr: 0.500 0.000 0.500 [1 per cell]
S: 0.260 0.500 0.250 [2 per cell]
S: 0.263 0.000 0.754 [2 per cell]

Properties
Density in g/cm3: 3.51
Energy relative to the elements, uncorrected in eV/atom: -1.660
Total magnetic moment in μB per formula unit: 0.00


(5)
Li7Y7ZrS16: relaxed, PBE.

abc: 6.567 15.571 6.756
angles: 90.00 109.68 90.00
Space group P2/m (No. 10)
One atom of each set of equivalent atoms:
Li: 0.000 0.000 0.000 [1 per cell]
Li: 0.000 0.126 0.500 [2 per cell]
Li: 0.000 0.249 0.000 [2 per cell]
Li: 0.000 0.378 0.500 [2 per cell]
Y: 0.500 0.000 0.500 [1 per cell]
Y: 0.500 0.126 0.000 [2 per cell]
Y: 0.500 0.252 0.500 [2 per cell]
Y: 0.500 0.377 0.000 [2 per cell]
Zr: 0.500 0.500 0.500 [1 per cell]
S: 0.247 0.252 0.753 [4 per cell]
S: 0.248 0.126 0.251 [4 per cell]
S: 0.249 0.000 0.751 [2 per cell]
S: 0.259 0.381 0.262 [4 per cell]
S: 0.259 0.500 0.733 [2 per cell]

Properties
Density in g/cm3: 3.25
Energy relative to the elements, uncorrected in eV/atom: -1.815
Total magnetic moment in μB per formula unit: 0.00


(6)
Li3YZr2S6: relaxed, PBE.

abc: 6.428 11.133 6.596
angles: 90.00 108.99 90.00
Space group C2/m (No. 12)
One atom of each set of equivalent atoms:
Li: 0.000 0.000 0.000 [2 per cell]
Li: 0.000 0.335 0.000 [4 per cell]
Y: 0.000 0.500 0.500 [2 per cell]
Zr: 0.000 0.167 0.500 [4 per cell]
S: 0.239 0.000 0.753 [4 per cell]
S: 0.243 0.173 0.248 [8 per cell]

Properties
Density in g/cm3: 3.61
Energy relative to the elements, uncorrected in eV/atom: -1.610
Total magnetic moment in μB per formula unit: 0.00


(7)
LiYbS2: relaxed, PBE.

abc: 4.0235 4.0235 17.0987
angles: 90.00 90.00 120.00
Space group R-3m (No. 166, hexagonal axes)
One atom of each set of equivalent atoms:
Li: 0.0000 0.0000 0.0000 [3 per cell]
Yb: 0.0000 0.0000 0.5000 [3 per cell]
S: 0.0000 0.0000 0.2551 [6 per cell]

Properties
Density in g/cm3: 5.07
Energy relative to the elements, uncorrected in eV/atom: -1.324
Total magnetic moment in μB per formula unit: 0.00


(8)
LiZn4S2: relaxed, PBE.

abc: 4.271 4.271 15.144
angles: 90.00 90.00 90.00
Space group I4/mmm (No. 139)
One atom of each set of equivalent atoms:
Li: 0.000 0.000 0.000 [2 per cell]
Zn: 0.000 0.000 0.182 [4 per cell]
Zn: 0.000 0.500 0.000 [4 per cell]
S: 0.000 0.000 0.333 [4 per cell]

Properties
Density in g/cm3: 4.00
Energy relative to the elements, uncorrected in eV/atom: 0.298
Total magnetic moment in μB per formula unit: 0.00


(9)
LiZnS2: relaxed, PBE.

abc: 5.685 5.685 10.042
angles: 90.00 90.00 90.00
Space group I-42d (No. 122)
One atom of each set of equivalent atoms:
Li: 0.000 0.000 0.000 [4 per cell]
Zn: 0.000 0.000 0.500 [4 per cell]
S: 0.235 0.250 0.625 [8 per cell]

Properties
Density in g/cm3: 2.79
Energy relative to the elements, uncorrected in eV/atom: -0.625
Total magnetic moment in μB per formula unit: 0.00


(10)
LiZn2S: relaxed, PBE.

abc: 8.130 8.130 4.578
angles: 90.00 90.00 90.00
Space group I-42d (No. 122)
One atom of each set of equivalent atoms:
Li: 0.000 0.000 0.000 [4 per cell]
Zn: 0.180 0.750 0.625 [8 per cell]
S: 0.000 0.000 0.500 [4 per cell]

Properties
Density in g/cm3: 3.73
Energy relative to the elements, uncorrected in eV/atom: -0.353
Total magnetic moment in μB per formula unit: 0.00


(11)
LiZnS2: relaxed, PBE.

abc: 3.5642 3.5642 22.0583
angles: 90.00 90.00 120.00
Space group R-3m (No. 166, hexagonal axes)
One atom of each set of equivalent atoms:
Li: 0.0000 0.0000 0.0000 [3 per cell]
Zn: 0.0000 0.0000 0.5000 [3 per cell]
S: 0.0000 0.0000 0.1030 [6 per cell]

Properties
Density in g/cm3: 2.80
Energy relative to the elements, uncorrected in eV/atom: -0.416
Total magnetic moment in μB per formula unit: 0.00


(12)
LiZrZn2S: relaxed, PBE.

abc: 4.787 4.787 4.163
angles: 90.00 90.00 90.00
Space group P4/mmm (No. 123)
One atom of each set of equivalent atoms:
Li: 0.000 0.000 0.000 [1 per cell]
Zr: 0.500 0.500 0.000 [1 per cell]
Zn: 0.000 0.500 0.500 [2 per cell]
S: 0.000 0.000 0.500 [1 per cell]

Properties
Density in g/cm3: 4.54
Energy relative to the elements, uncorrected in eV/atom: 0.236
Excess energy over the best structure of this formula in the dataset in meV/atom: 196.2
Total magnetic moment in μB per formula unit: 0.00


(13)
LiZrZn2S: relaxed, PBE.

abc: 4.435 4.435 4.286
angles: 90.00 90.00 90.00
Space group P4/mmm (No. 123)
One atom of each set of equivalent atoms:
Li: 0.000 0.000 0.000 [1 per cell]
Zr: 0.500 0.500 0.500 [1 per cell]
Zn: 0.000 0.500 0.000 [2 per cell]
S: 0.000 0.000 0.500 [1 per cell]

Properties
Density in g/cm3: 5.14
Energy relative to the elements, uncorrected in eV/atom: 0.040
Excess energy over the best structure of this formula in the dataset in meV/atom: 0.0
Total magnetic moment in μB per formula unit: 0.00


(14)
LiZrS3: relaxed, PBE.

abc: 4.999 4.999 4.999
angles: 90.00 90.00 90.00
Space group Pm-3m (No. 221)
One atom of each set of equivalent atoms:
Li: 0.000 0.000 0.000 [1 per cell]
Zr: 0.500 0.500 0.500 [1 per cell]
S: 0.000 0.500 0.500 [3 per cell]

Properties
Density in g/cm3: 2.58
Energy relative to the elements, uncorrected in eV/atom: -0.896
Excess energy over the best structure of this formula in the dataset in meV/atom: 158.1
Total magnetic moment in μB per formula unit: 0.00


(15)
LiZrS3: relaxed, PBE.

abc: 4.363 4.363 4.363
angles: 90.00 90.00 90.00
Space group Pm-3m (No. 221)
One atom of each set of equivalent atoms:
Li: 0.000 0.000 0.000 [1 per cell]
Zr: 0.500 0.500 0.500 [1 per cell]
S: 0.000 0.000 0.500 [3 per cell]

Properties
Density in g/cm3: 3.89
Energy relative to the elements, uncorrected in eV/atom: -0.228
Excess energy over the best structure of this formula in the dataset in meV/atom: 826.0
Total magnetic moment in μB per formula unit: 0.00


(16)
Li5Zr3S8: relaxed, PBE.

abc: 7.3558 7.3558 18.3461
angles: 90.00 90.00 120.00
Space group R-3m (No. 166, hexagonal axes)
One atom of each set of equivalent atoms:
Li: 0.0000 0.0000 0.0000 [3 per cell]
Li: 0.0000 0.0000 0.5000 [3 per cell]
Li: 0.0000 0.5000 0.0000 [9 per cell]
Zr: 0.0000 0.5000 0.5000 [9 per cell]
S: 0.0000 0.0000 0.2500 [6 per cell]
S: 0.0044 0.5022 0.7524 [18 per cell]

Properties
Density in g/cm3: 3.27
Energy relative to the elements, uncorrected in eV/atom: -1.491
Total magnetic moment in μB per formula unit: 0.00


(17)
LiZrS3: relaxed, PBE.

abc: 3.606 17.817 6.552
angles: 90.00 90.00 90.00
Space group Cmc2_1 (No. 36)
One atom of each set of equivalent atoms:
Li: 0.000 0.155 0.000 [4 per cell]
Zr: 0.000 0.343 0.960 [4 per cell]
S: 0.000 0.091 0.654 [4 per cell]
S: 0.000 0.250 0.314 [4 per cell]
S: 0.000 0.425 0.665 [4 per cell]

Properties
Density in g/cm3: 3.07
Energy relative to the elements, uncorrected in eV/atom: -1.054
Excess energy over the best structure of this formula in the dataset in meV/atom: 0.0
Total magnetic moment in μB per formula unit: 0.00


(18)
LiZr2S4: relaxed, PBE.

abc: 6.284 3.642 6.633
angles: 90.00 108.06 90.00
Space group P2/m (No. 10)
One atom of each set of equivalent atoms:
Li: 0.000 0.000 0.000 [1 per cell]
Zr: 0.000 0.500 0.500 [1 per cell]
Zr: 0.500 0.000 0.500 [1 per cell]
S: 0.245 0.000 0.741 [2 per cell]
S: 0.254 0.500 0.255 [2 per cell]

Properties
Density in g/cm3: 3.66
Energy relative to the elements, uncorrected in eV/atom: -1.545
Excess energy over the best structure of this formula in the dataset in meV/atom: 0.0
Total magnetic moment in μB per formula unit: 0.00


(19)
LiZr2S4: relaxed, PBE.

abc: 7.376 7.412 10.407
angles: 90.00 90.00 90.00
Space group Imma (No. 74)
One atom of each set of equivalent atoms:
Li: 0.250 0.250 0.250 [4 per cell]
Zr: 0.000 0.000 0.000 [4 per cell]
Zr: 0.250 0.250 0.750 [4 per cell]
S: 0.000 0.002 0.750 [8 per cell]
S: 0.246 0.250 0.998 [8 per cell]

Properties
Density in g/cm3: 3.71
Energy relative to the elements, uncorrected in eV/atom: -1.541
Excess energy over the best structure of this formula in the dataset in meV/atom: 4.0
Total magnetic moment in μB per formula unit: 0.00


(20)
Li2Zr3S6: relaxed, PBE.

abc: 6.282 10.882 6.621
angles: 90.00 108.39 90.00
Space group C2/m (No. 12)
One atom of each set of equivalent atoms:
Li: 0.000 0.167 0.000 [4 per cell]
Zr: 0.000 0.000 0.500 [2 per cell]
Zr: 0.000 0.334 0.500 [4 per cell]
S: 0.248 0.167 0.746 [8 per cell]
S: 0.250 0.000 0.253 [4 per cell]

Properties
Density in g/cm3: 3.71
Energy relative to the elements, uncorrected in eV/atom: -1.545
Total magnetic moment in μB per formula unit: 0.00